1.
This record from the Alexandria database describes a geometry-optimized Cs3TlAu2Br6 structure. The functional is PBE.

```
data_Cs3TlAu2Br6
_chemical_formula_sum 'Cs3 Tl1 Au2 Br6'
_cell_length_a 8.667
_cell_length_b 8.667
_cell_length_c 9.594
_cell_angle_alpha 90.00
_cell_angle_beta 90.00
_cell_angle_gamma 120.00
_symmetry_space_group_name_H-M 'P 1'
_symmetry_Int_Tables_number 1
_symmetry_space_group_name_Hall 'P 1'
loop_
_atom_site_label
_atom_site_type_symbol
_atom_site_fract_x
_atom_site_fract_y
_atom_site_fract_z
Cs1 Cs 0.000 0.000 0.000
Cs2 Cs 0.333 0.667 0.655
Cs3 Cs 0.667 0.333 0.345
Tl1 Tl 0.000 0.000 0.500
Au1 Au 0.333 0.667 0.272
Au2 Au 0.667 0.333 0.728
Br1 Br 0.162 0.324 0.279
Br2 Br 0.162 0.838 0.279
Br3 Br 0.324 0.162 0.721
Br4 Br 0.676 0.838 0.279
Br5 Br 0.838 0.162 0.721
Br6 Br 0.838 0.676 0.721
```

Properties
space group	No. 164

2.
This record from the Alexandria database describes a geometry-optimized CsTlAuBr3 structure. The functional is PBE.

```
data_CsTlAuBr3
_chemical_formula_sum 'Cs2 Tl2 Au2 Br6'
_cell_length_a 8.780
_cell_length_b 8.780
_cell_length_c 8.316
_cell_angle_alpha 90.00
_cell_angle_beta 90.00
_cell_angle_gamma 120.00
_symmetry_space_group_name_H-M 'P 1'
_symmetry_Int_Tables_number 1
_symmetry_space_group_name_Hall 'P 1'
loop_
_atom_site_label
_atom_site_type_symbol
_atom_site_fract_x
_atom_site_fract_y
_atom_site_fract_z
Cs1 Cs 0.333 0.667 0.250
Cs2 Cs 0.667 0.333 0.750
Tl1 Tl 0.000 0.000 0.000
Tl2 Tl 0.000 0.000 0.500
Au1 Au 0.333 0.667 0.750
Au2 Au 0.667 0.333 0.250
Br1 Br 0.165 0.329 0.750
Br2 Br 0.165 0.835 0.750
Br3 Br 0.329 0.165 0.250
Br4 Br 0.671 0.835 0.750
Br5 Br 0.835 0.165 0.250
Br6 Br 0.835 0.671 0.250
```

Properties
space group	No. 194

no.,E_tot (eV/f.u.)
1,-33.24
2,-16.47